Entry 1:
Below is a geometry-optimized Cu2Te structure, with properties calculated at the PBE level. Values from VASP.

Structure (Quantum ESPRESSO input):
```
&SYSTEM
  ibrav = 0, nat = 6, ntyp = 2
/
ATOMIC_SPECIES
Cu 63.55 Cu.upf
Te 127.60 Te.upf
CELL_PARAMETERS angstrom
4.6693 0.0000 0.0000
-2.3347 4.0438 0.0000
0.0000 0.0000 5.5485
ATOMIC_POSITIONS crystal
Cu 0.0000 0.0000 0.0000
Cu 0.0000 0.0000 0.5000
Cu 0.3333 0.6667 0.2500
Cu 0.6667 0.3333 0.7500
Te 0.3333 0.6667 0.7500
Te 0.6667 0.3333 0.2500
```

Values from the calculation:
Calculated volume (Å³ per atom): 17.5
Uncorrected formation energy (meV per atom): 258
Total moment (μB per atom): 0.00
D(E_F) (states/eV/cell): 2.93

=====

Entry 2:
Below is a geometry-optimized BaLiZn4 structure, with properties calculated at the PBE level. Values from VASP.

Structure (Quantum ESPRESSO input):
```
&SYSTEM
  ibrav = 0, nat = 24, ntyp = 3
/
ATOMIC_SPECIES
Ba 137.33 Ba.upf
Li 6.94 Li.upf
Zn 65.41 Zn.upf
CELL_PARAMETERS angstrom
-4.9471 4.9471 5.9533
4.9471 -4.9471 5.9533
4.9471 4.9471 -5.9533
ATOMIC_POSITIONS crystal
Ba 0.1725 0.1725 0.0000
Ba 0.2500 0.7500 0.5000
Ba 0.7500 0.2500 0.5000
Ba 0.8275 0.8275 0.0000
Li 0.3042 0.5000 0.8042
Li 0.5000 0.3042 0.8042
Li 0.5000 0.6958 0.1958
Li 0.6958 0.5000 0.1958
Zn 0.1226 0.3058 0.4284
Zn 0.1226 0.6942 0.8169
Zn 0.1361 0.1361 0.5960
Zn 0.1361 0.5401 0.0000
Zn 0.3058 0.1226 0.4284
Zn 0.3058 0.8774 0.1831
Zn 0.4599 0.4599 0.5960
Zn 0.4599 0.8639 0.0000
Zn 0.5401 0.1361 0.0000
Zn 0.5401 0.5401 0.4040
Zn 0.6942 0.1226 0.8169
Zn 0.6942 0.8774 0.5716
Zn 0.8639 0.4599 0.0000
Zn 0.8639 0.8639 0.4040
Zn 0.8774 0.3058 0.1831
Zn 0.8774 0.6942 0.5716
```

Values from the calculation:
Relative energy among the computed polymorphs (kJ/mol of atoms): 3.97
Calculated volume (Å³ per atom): 24.3
Total moment (μB per atom): 0.00
ΔH_f (0 K) (eV/f.u.): -0.5
D(E_F) (states/eV/cell): 15.37

=====

Entry 3:
Below is a geometry-optimized CaMnTl4 structure, with properties calculated at the PBE level. Values from VASP.

Structure (Quantum ESPRESSO input):
```
&SYSTEM
  ibrav = 0, nat = 6, ntyp = 3
/
ATOMIC_SPECIES
Ca 40.08 Ca.upf
Mn 54.94 Mn.upf
Tl 204.38 Tl.upf
CELL_PARAMETERS angstrom
0.0000 4.4649 4.4649
4.4649 0.0000 4.4649
4.4649 4.4649 0.0000
ATOMIC_POSITIONS crystal
Ca 0.0000 0.0000 0.0000
Mn 0.7500 0.7500 0.7500
Tl 0.3754 0.3754 0.3754
Tl 0.3754 0.3754 0.8739
Tl 0.3754 0.8739 0.3754
Tl 0.8739 0.3754 0.3754
```

Values from the calculation:
Calculated volume (Å³ per atom): 29.7
Total moment (μB per atom): 0.68
ΔH_f (0 K) (eV/f.u.): 1.8
D(E_F) (states/eV/cell): 6.22

=====

What did the third record say?
Below is a geometry-optimized CaMnTl4 structure, with properties calculated at the PBE level. Values from VASP.

Structure (Quantum ESPRESSO input):
```
&SYSTEM
  ibrav = 0, nat = 6, ntyp = 3
/
ATOMIC_SPECIES
Ca 40.08 Ca.upf
Mn 54.94 Mn.upf
Tl 204.38 Tl.upf
CELL_PARAMETERS angstrom
0.0000 4.4649 4.4649
4.4649 0.0000 4.4649
4.4649 4.4649 0.0000
ATOMIC_POSITIONS crystal
Ca 0.0000 0.0000 0.0000
Mn 0.7500 0.7500 0.7500
Tl 0.3754 0.3754 0.3754
Tl 0.3754 0.3754 0.8739
Tl 0.3754 0.8739 0.3754
Tl 0.8739 0.3754 0.3754
```

Values from the calculation:
Calculated volume (Å³ per atom): 29.7
Total moment (μB per atom): 0.68
ΔH_f (0 K) (eV/f.u.): 1.8
D(E_F) (states/eV/cell): 6.22